(1)
AlFe2Te | GGA-PBE | optimized geometry

Structure (extended XYZ):
```
4
Lattice="1.529 0.883 7.807 -1.529 0.883 7.807 0.000 -1.766 7.807" Properties=species:S:1:pos:R:3 pbc="T T T"
Al 0.000 0.000 0.000
Fe 0.000 0.000 5.905
Fe 0.000 0.000 17.515
Te 0.000 0.000 11.710
```

Properties
VASP energy   -5.61 eV per atom
D(E_F)   4.606 states/eV per cell
Formation energy without anion corrections   341 meV/atom
SG   R-3m



(2)
CuBiAsSe2 | GGA-PBE | optimized geometry

Structure (extended XYZ):
```
5
Lattice="4.881 0.000 0.000 0.000 4.881 0.000 0.000 0.000 4.717" Properties=species:S:1:pos:R:3 pbc="T T T"
Cu 0.000 0.000 0.000
Bi 2.441 2.441 2.359
As 0.000 0.000 2.359
Se 0.000 2.441 0.000
Se 2.441 0.000 0.000
```

Properties
VASP energy   -3.62 eV per atom
D(E_F)   4.137 states/eV per cell
Formation energy without anion corrections   294 meV/atom
SG   P4/mmm



(3)
CdAsIN2 | GGA-PBE | optimized geometry

Structure (extended XYZ):
```
5
Lattice="3.959 0.000 0.000 0.000 3.959 0.000 0.000 0.000 7.029" Properties=species:S:1:pos:R:3 pbc="T T T"
Cd 0.000 0.000 0.000
As 1.979 1.979 3.515
I 1.979 1.979 0.000
N 0.000 1.979 3.515
N 1.979 0.000 3.515
```

Properties
VASP energy   -3.50 eV per atom
D(E_F)   1.937 states/eV per cell
Formation energy without anion corrections   1250 meV/atom
SG   P4/mmm



(4)
Ba3VRe | GGA-PBE | optimized geometry

Structure (extended XYZ):
```
5
Lattice="5.973 0.000 0.000 0.000 5.973 0.000 0.000 0.000 5.973" Properties=species:S:1:pos:R:3 pbc="T T T"
Ba 0.000 0.000 2.987
Ba 0.000 2.987 0.000
Ba 2.987 0.000 0.000
V 0.000 0.000 0.000
Re 2.987 2.987 2.987
```

Properties
VASP energy   -3.74 eV per atom
Energy of formation from the pure elements   1.7318 eV/atom
D(E_F)   9.993 states/eV per cell
SG   Pm-3m



(5)
Na2HgBi3 | GGA-PBE | optimized geometry

Structure (extended XYZ):
```
6
Lattice="3.508 0.000 0.000 0.000 5.299 0.000 0.000 0.000 9.880" Properties=species:S:1:pos:R:3 pbc="T T T"
Na 0.000 0.000 0.000
Na 0.000 2.650 4.701
Hg 1.754 0.000 3.199
Bi 1.754 0.000 6.336
Bi 1.754 2.650 1.554
Bi 1.754 2.650 8.212
```

Properties
VASP energy   -2.63 eV per atom
Energy of formation from the pure elements   -0.1958 eV/atom
D(E_F)   1.633 states/eV per cell
SG   Pmm2



(6)
Pr2Nd5Pt4 | GGA-PBE | optimized geometry

Structure (extended XYZ):
```
11
Lattice="12.669 -1.937 0.000 12.669 1.937 0.000 -0.497 0.000 6.985" Properties=species:S:1:pos:R:3 pbc="T T T"
Pr 2.187 0.000 1.133
Pr 22.653 0.000 5.851
Nd 3.045 0.000 4.840
Nd 5.784 0.000 1.610
Nd 12.420 0.000 3.492
Nd 19.056 0.000 5.374
Nd 21.795 0.000 2.145
Pt 0.253 0.000 5.602
Pt 8.355 0.000 0.050
Pt 16.485 0.000 6.934
Pt 24.587 0.000 1.383
```

Properties
VASP energy   -5.84 eV per atom
Energy of formation from the pure elements   -0.6107 eV/atom
D(E_F)   12.372 states/eV per cell
SG   C2/m



(7)
PmTlBiPd | GGA-PBE | optimized geometry

Structure (extended XYZ):
```
4
Lattice="0.000 3.714 3.714 3.714 0.000 3.714 3.714 3.714 0.000" Properties=species:S:1:pos:R:3 pbc="T T T"
Pm 0.000 0.000 0.000
Tl 5.572 5.572 5.572
Bi 3.714 3.714 3.714
Pd 1.857 1.857 1.857
```

Properties
VASP energy   -4.42 eV per atom
Energy of formation from the pure elements   -0.3695 eV/atom
D(E_F)   3.009 states/eV per cell
SG   F-43m



(8)
Ac3ErRh8 | GGA-PBE | optimized geometry

Structure (extended XYZ):
```
12
Lattice="2.745 1.585 9.003 -2.745 1.585 9.003 0.000 -3.169 9.003" Properties=species:S:1:pos:R:3 pbc="T T T"
Ac 0.000 0.000 0.000
Ac 0.000 0.000 3.397
Ac 0.000 0.000 16.800
Er 0.000 0.000 13.444
Rh 0.000 -1.584 6.110
Rh -1.372 0.792 6.110
Rh -1.365 -0.788 10.729
Rh 0.000 0.000 8.420
Rh 1.372 0.792 6.110
Rh 1.365 -0.788 10.729
Rh 0.000 1.576 10.729
Rh 0.000 0.000 21.935
```

Properties
VASP energy   -6.90 eV per atom
Energy of formation from the pure elements   -0.5958 eV/atom
D(E_F)   6.976 states/eV per cell
SG   R3m



(9)
FeCuI2N | GGA-PBE | optimized geometry

Structure (extended XYZ):
```
5
Lattice="5.554 0.000 0.000 0.000 5.554 0.000 0.000 0.000 3.674" Properties=species:S:1:pos:R:3 pbc="T T T"
Fe 0.000 0.000 0.000
Cu 2.777 2.777 1.837
I 0.000 2.777 1.837
I 2.777 0.000 1.837
N 2.777 2.777 0.000
```

Properties
VASP energy   -3.72 eV per atom
D(E_F)   5.595 states/eV per cell
Formation energy without anion corrections   1074 meV/atom
SG   P4/mmm



(10)
SbRh2Pb | GGA-PBE | optimized geometry

Structure (extended XYZ):
```
4
Lattice="3.271 0.000 0.000 0.000 5.223 0.000 0.000 0.000 4.538" Properties=species:S:1:pos:R:3 pbc="T T T"
Sb 0.000 0.000 0.000
Rh 0.000 2.611 3.644
Rh 1.636 0.000 2.396
Pb 1.636 2.611 1.388
```

Properties
VASP energy   -5.72 eV per atom
D(E_F)   2.931 states/eV per cell
Formation energy without anion corrections   -91 meV/atom
SG   Pmm2



(11)
KRu2Rh | GGA-PBE | optimized geometry

Structure (extended XYZ):
```
4
Lattice="2.778 0.000 0.000 0.000 4.867 0.000 0.000 0.000 4.993" Properties=species:S:1:pos:R:3 pbc="T T T"
K 0.000 0.000 0.000
Ru 0.000 2.434 2.497
Ru 1.389 0.000 2.497
Rh 1.389 2.434 0.000
```

Properties
VASP energy   -5.56 eV per atom
Energy of formation from the pure elements   1.1881 eV/atom
D(E_F)   5.422 states/eV per cell
SG   Pmmm



(12)
MoPt2 | GGA-PBE | optimized geometry

Structure (extended XYZ):
```
3
Lattice="4.491 0.000 0.000 -2.246 3.890 0.000 0.000 0.000 2.692" Properties=species:S:1:pos:R:3 pbc="T T T"
Mo 0.000 0.000 0.000
Pt 0.000 2.593 1.346
Pt 2.246 1.297 1.346
```

Properties
VASP energy   -7.85 eV per atom
Energy of formation from the pure elements   -0.2098 eV/atom
D(E_F)   2.742 states/eV per cell
SG   P6/mmm